# Na4VF6 | the Alexandria database | PBE+U | relaxed
data_Na4VF6
_symmetry_space_group_name_H-M 'R -3 c'
_symmetry_Int_Tables_number 167
_symmetry_space_group_name_Hall '-R 3 2"c'
_cell_length_a 9.5129
_cell_length_b 9.5129
_cell_length_c 11.4065
_cell_angle_alpha 90.00
_cell_angle_beta 90.00
_cell_angle_gamma 120.00
loop_
_atom_site_label
_atom_site_type_symbol
_atom_site_fract_x
_atom_site_fract_y
_atom_site_fract_z
Na1 Na 0.0000 0.0000 0.2500
Na2 Na 0.0000 0.3479 0.2500
V1 V 0.0000 0.0000 0.0000
F1 F 0.0373 0.1937 0.3918
# Total DFT energy (no corrections) in eV per atom: -4.85
# Spin magnetization in μB/f.u.: 3.00